(1)
Computed, not measured: LiAgHgPd after structural relaxation at the PBE level of DFT.

abc: 6.502 6.502 6.502
angles: 90.00 90.00 90.00
Space group F-43m (No. 216)
Symmetry-distinct sites (fractional):
Li 0.000 0.000 0.000 [4 per cell]
Ag 0.250 0.250 0.750 [4 per cell]
Hg 0.250 0.250 0.250 [4 per cell]
Pd 0.000 0.000 0.500 [4 per cell]

Values from the calculation:
For the energy, the calculation gives -2.838 eV per atom. The energy relative to the lowest polymorph listed for this composition comes out at 0.000 eV per atom.

***

(2)
Computed, not measured: LiScAgHg after structural relaxation at the PBE level of DFT.

abc: 3.351 4.790 4.871
angles: 90.00 90.00 90.00
Space group Pmmm (No. 47)
Symmetry-distinct sites (fractional):
Li 0.000 0.000 0.000 [1 per cell]
Sc 0.000 0.500 0.500 [1 per cell]
Ag 0.500 0.000 0.500 [1 per cell]
Hg 0.500 0.500 0.000 [1 per cell]

Values from the calculation:
The calculation puts the magnetic moment at 0.01 μB/cell. For the energy, the calculation gives -3.123 eV per atom.

***

(3)
Computed, not measured: Li4AgSn2Hg after structural relaxation at the PBE level of DFT.

abc: 4.694 4.694 6.637
angles: 90.00 90.00 90.00
Space group P-4m2 (No. 115)
Symmetry-distinct sites (fractional):
Li 0.000 0.000 0.000 [1 per cell]
Li 0.000 0.500 0.240 [2 per cell]
Li 0.500 0.500 0.500 [1 per cell]
Ag 0.500 0.500 0.000 [1 per cell]
Sn 0.000 0.500 0.759 [2 per cell]
Hg 0.000 0.000 0.500 [1 per cell]

Values from the calculation:
For the energy, the calculation gives -2.708 eV per atom.

***

(4)
Computed, not measured: LiTlAgHg after structural relaxation at the PBE level of DFT.

abc: 6.933 6.933 6.933
angles: 90.00 90.00 90.00
Space group F-43m (No. 216)
Symmetry-distinct sites (fractional):
Li 0.000 0.000 0.000 [4 per cell]
Tl 0.250 0.250 0.250 [4 per cell]
Ag 0.000 0.000 0.500 [4 per cell]
Hg 0.250 0.250 0.750 [4 per cell]

Values from the calculation:
For the energy, the calculation gives -1.981 eV per atom. The energy relative to the lowest polymorph listed for this composition comes out at 0.000 eV per atom.

***

(5)
Computed, not measured: Li4Tl2AgHg after structural relaxation at the PBE level of DFT.

abc: 4.752 4.752 6.723
angles: 90.00 90.00 90.00
Space group P-4m2 (No. 115)
Symmetry-distinct sites (fractional):
Li 0.000 0.000 0.000 [1 per cell]
Li 0.000 0.500 0.247 [2 per cell]
Li 0.500 0.500 0.500 [1 per cell]
Tl 0.000 0.500 0.762 [2 per cell]
Ag 0.500 0.500 0.000 [1 per cell]
Hg 0.000 0.000 0.500 [1 per cell]

Values from the calculation:
For the energy, the calculation gives -2.169 eV per atom.

***

(6)
Computed, not measured: LiTlAgHg after structural relaxation at the PBE level of DFT.

abc: 6.992 6.992 6.992
angles: 90.00 90.00 90.00
Space group F-43m (No. 216)
Symmetry-distinct sites (fractional):
Li 0.000 0.000 0.000 [4 per cell]
Tl 0.250 0.250 0.750 [4 per cell]
Ag 0.250 0.250 0.250 [4 per cell]
Hg 0.000 0.000 0.500 [4 per cell]

Values from the calculation:
For the energy, the calculation gives -1.940 eV per atom. The energy relative to the lowest polymorph listed for this composition comes out at 0.041 eV per atom.

***

(7)
Computed, not measured: LuMgAgHg after structural relaxation at the PBE level of DFT.

abc: 6.948 6.948 6.948
angles: 90.00 90.00 90.00
Space group F-43m (No. 216)
Symmetry-distinct sites (fractional):
Lu 0.000 0.000 0.000 [4 per cell]
Mg 0.250 0.250 0.250 [4 per cell]
Ag 0.000 0.000 0.500 [4 per cell]
Hg 0.250 0.250 0.750 [4 per cell]

Values from the calculation:
The calculation puts the magnetic moment at 0.00 μB/cell. For the energy, the calculation gives -2.487 eV per atom. The energy relative to the lowest polymorph listed for this composition comes out at 0.182 eV per atom.

***

(8)
Computed, not measured: LuMgAgHg after structural relaxation at the PBE level of DFT.

abc: 6.927 6.927 6.927
angles: 90.00 90.00 90.00
Space group F-43m (No. 216)
Symmetry-distinct sites (fractional):
Lu 0.000 0.000 0.000 [4 per cell]
Mg 0.250 0.250 0.750 [4 per cell]
Ag 0.250 0.250 0.250 [4 per cell]
Hg 0.000 0.000 0.500 [4 per cell]

Values from the calculation:
The calculation puts the magnetic moment at 0.01 μB/cell. For the energy, the calculation gives -2.473 eV per atom. The energy relative to the lowest polymorph listed for this composition comes out at 0.196 eV per atom.